No. 1
{"formula": "Ti4Zn3Rh", "functional": "PBE-GGA", "state": "relaxed", "lattice_angstrom": [[-3.4152, -0.4276, 2.8004], [-3.1263, -3.2979, -4.3162], [3.5358, -7.4971, 3.1673]], "species": ["Zn", "Zn", "Zn", "Zn", "Zn", "Zn", "Rh", "Rh", "Ti", "Ti", "Ti", "Ti", "Ti", "Ti", "Ti", "Ti"], "frac_coords": [[0.0000, 0.0000, 0.0000], [0.0000, 0.0000, 0.5000], [0.5012, 0.0000, 0.7500], [0.4988, 0.0000, 0.2500], [0.5012, 0.5000, 0.7500], [0.4988, 0.5000, 0.2500], [0.0000, 0.5000, 0.0000], [0.0000, 0.5000, 0.5000], [0.5000, 0.7473, 0.0000], [0.5000, 0.7473, 0.5000], [0.5000, 0.2527, 0.0000], [0.5000, 0.2527, 0.5000], [0.0010, 0.7472, 0.7500], [0.9990, 0.7472, 0.2500], [0.9990, 0.2528, 0.2500], [0.0010, 0.2528, 0.7500]], "formation_enthalpy_0k_ev_per_atom": -0.303, "final_energy_ev_per_atom": -5.65}


No. 2
{"formula": "La6Dy2Th", "functional": "PBE-GGA", "state": "relaxed", "lattice_angstrom": [[0.5045, -2.5820, -2.5857], [10.1050, 1.7044, -0.8383], [-4.3208, -7.5048, 5.5432]], "species": ["La", "La", "La", "La", "La", "La", "Dy", "Dy", "Th"], "frac_coords": [[0.8195, 0.5019, 0.1576], [0.1805, 0.4981, 0.8424], [0.6763, 0.6767, 0.6767], [0.8195, 0.1576, 0.5019], [0.1805, 0.8424, 0.4981], [0.3237, 0.3233, 0.3233], [0.5000, 0.8396, 0.1604], [0.5000, 0.1604, 0.8396], [0.0000, 0.0000, 0.0000]], "formation_enthalpy_0k_ev_per_atom": 0.102, "final_energy_ev_per_atom": -5.03}


No. 3
{"formula": "PdAuO3", "functional": "PBE-GGA", "state": "relaxed", "lattice_angstrom": [[4.0220, 0.0000, 0.0000], [0.0000, 4.0220, 0.0000], [0.0000, 0.0000, 4.0220]], "species": ["Au", "O", "O", "O", "Pd"], "frac_coords": [[0.0000, 0.0000, 0.0000], [0.0000, 0.5000, 0.0000], [0.0000, 0.0000, 0.5000], [0.5000, 0.0000, 0.0000], [0.5000, 0.5000, 0.5000]], "e_form_raw_ev_per_fu": 4.0, "final_energy_ev_per_atom": -3.88}